This record from Alexandria describes Li3TmIn4 after structural relaxation. The functional is PBE.

Unit cell a=4.9104 b=4.9104 c=8.7160 alpha=73.64 beta=73.64 gamma=60.00
Closest atoms and distances in Å follow each position.
Element x y z (fractional)
Li 0.5000 0.5000 0.5000  8 In 2.89-2.99
Li 0.7494 0.7494 0.7518  8 In 2.95-3.28
Li 0.2506 0.2506 0.2482  8 In 2.95-3.28
In 0.6169 0.6169 0.1494  4 Li 2.89-2.95, 3 Tm 3.09
In 0.3831 0.3831 0.8506  4 Li 2.89-2.95, 3 Tm 3.09
In 0.1285 0.1285 0.6144  7 Li 2.99-3.05, 1 Tm 3.18
In 0.8715 0.8715 0.3856  7 Li 2.99-3.05, 1 Tm 3.18
Tm 0.0000 0.0000 0.0000  8 In 3.09-3.18

Calculated values
**Total magnetization**: 0.00 μB/cell
**D(E_F)**: 2.8 states/eV per cell
**Formation energy**: -0.32 eV/atom

---

This record from Alexandria describes LiTm5In4 after structural relaxation. The functional is PBE.

Unit cell a=3.6574 b=3.6574 c=18.9907 alpha=90.00 beta=90.00 gamma=90.00
Closest atoms and distances in Å follow each position.
Element x y z (fractional)
Tm 0.5000 0.5000 0.7031  8 In 3.23-3.25
Tm 0.5000 0.5000 0.0952  4 Li 3.16, 4 In 3.19
Tm 0.5000 0.5000 0.9048  4 Li 3.16, 4 In 3.19
Tm 0.5000 0.5000 0.2969  8 In 3.23-3.25
Tm 0.5000 0.5000 0.5000  8 In 3.23
In 0.0000 0.0000 0.1935  8 Tm 3.19-3.25
In 0.0000 0.0000 0.8065  8 Tm 3.19-3.25
In 0.0000 0.0000 0.6016  8 Tm 3.23
In 0.0000 0.0000 0.3984  8 Tm 3.23
Li 0.0000 0.0000 0.0000  8 Tm 3.16

Calculated values
**Total magnetization**: 0.00 μB/cell
**D(E_F)**: 8.3 states/eV per cell
**Formation energy**: -0.33 eV/atom

---

This record from Alexandria describes LiTm4In2 after structural relaxation. The functional is PBE.

Unit cell a=6.9625 b=6.5472 c=9.2901 alpha=90.00 beta=116.57 gamma=90.00
Closest atoms and distances in Å follow each position.
Element x y z (fractional)
Tm 0.0543 0.7500 0.8660  4 In 3.16-3.40, 1 Li 3.32
Tm 0.9768 0.2500 0.5278  1 Li 2.85
Tm 0.5455 0.4944 0.2194  1 Li 2.98, 4 In 3.14-3.29, 1 Tm 3.20
Tm 0.4545 0.5056 0.7806  1 Li 2.98, 4 In 3.14-3.29, 1 Tm 3.20
Tm 0.5455 0.0056 0.2194  1 Li 2.98, 4 In 3.14-3.29, 1 Tm 3.20
Tm 0.4545 0.9944 0.7806  1 Li 2.98, 4 In 3.14-3.29, 1 Tm 3.20
Tm 0.9457 0.2500 0.1340  4 In 3.16-3.40, 1 Li 3.32
Tm 0.0232 0.7500 0.4722  1 Li 2.85
In 0.7996 0.7500 0.0753  1 Li 2.66
In 0.3892 0.2500 0.4580  1 Li 2.80
In 0.6108 0.7500 0.5420  1 Li 2.80
In 0.2004 0.2500 0.9247  1 Li 2.66
Li 0.2210 0.7500 0.2617  2 In 2.66-2.80, 3 Tm 2.85-2.98
Li 0.7790 0.2500 0.7383  2 In 2.66-2.80, 3 Tm 2.85-2.98

Calculated values
**Total magnetization**: 0.00 μB/cell
**Distance to the lowest polymorph of the same formula**: 0.0490 eV per atom
**D(E_F)**: 14.2 states/eV per cell
**Formation energy**: -0.13 eV/atom

---

This record from Alexandria describes Li4TmIn after structural relaxation. The functional is PBE.

Unit cell a=5.4724 b=5.4724 c=5.4724 alpha=60.00 beta=60.00 gamma=60.00
Closest atoms and distances in Å follow each position.
Element x y z (fractional)
In 0.0000 0.0000 0.0000  12 Li 3.21, 4 Tm 3.35
Li 0.6257 0.1228 0.6257  6 Li 2.72-2.75
Li 0.1229 0.6257 0.6257  6 Li 2.72-2.75
Li 0.6257 0.6257 0.6257  6 Li 2.72-2.75
Li 0.6257 0.6257 0.1228  6 Li 2.72-2.75
Tm 0.2500 0.2500 0.2500  12 Li 3.21, 4 In 3.35

Calculated values
**Total magnetization**: 0.00 μB/cell
**D(E_F)**: 1.3 states/eV per cell
**Formation energy**: -0.13 eV/atom

---

This record from Alexandria describes LiTm3In12 after structural relaxation. The functional is PBE.

Unit cell a=4.6220 b=4.6220 c=18.2500 alpha=90.00 beta=90.00 gamma=90.00
Closest atoms and distances in Å follow each position.
Element x y z (fractional)
In 0.5000 0.5000 0.2482  8 In 3.25-3.30, 4 Tm 3.27
In 0.0000 0.5000 0.8812  8 In 3.17-3.30, 2 Li 3.17, 2 Tm 3.29
In 0.5000 0.5000 0.0000  8 In 3.17, 4 Li 3.27
In 0.0000 0.5000 0.6267  8 In 3.25-3.27, 4 Tm 3.26-3.27
In 0.5000 0.0000 0.1188  8 In 3.17-3.30, 2 Li 3.17, 2 Tm 3.29
In 0.5000 0.5000 0.5000  4 Tm 3.27, 8 In 3.27
In 0.5000 0.0000 0.6267  8 In 3.25-3.27, 4 Tm 3.26-3.27
In 0.5000 0.0000 0.3733  8 In 3.25-3.27, 4 Tm 3.26-3.27
In 0.5000 0.0000 0.8812  8 In 3.17-3.30, 2 Li 3.17, 2 Tm 3.29
In 0.0000 0.5000 0.1188  8 In 3.17-3.30, 2 Li 3.17, 2 Tm 3.29
In 0.5000 0.5000 0.7518  8 In 3.25-3.30, 4 Tm 3.27
In 0.0000 0.5000 0.3733  8 In 3.25-3.27, 4 Tm 3.26-3.27
Tm 0.0000 0.0000 0.2475  12 In 3.26-3.29
Tm 0.0000 0.0000 0.7525  12 In 3.26-3.29
Tm 0.0000 0.0000 0.5000  12 In 3.27
Li 0.0000 0.0000 0.0000  12 In 3.17-3.27

Calculated values
**Total magnetization**: 0.00 μB/cell
**D(E_F)**: 6.2 states/eV per cell
**Formation energy**: -0.30 eV/atom

---

This record from Alexandria describes Li2TmIn after structural relaxation. The functional is PBE.

Unit cell a=4.4855 b=4.5022 c=4.5022 alpha=90.00 beta=90.00 gamma=90.00
Closest atoms and distances in Å follow each position.
Element x y z (fractional)
Li 0.0000 0.0000 0.5000  4 In 3.18, 4 Tm 3.18, 4 Li 3.18
Li 0.0000 0.5000 0.0000  4 In 3.18, 4 Tm 3.18, 4 Li 3.18
In 0.5000 0.0000 0.0000  8 Li 3.18, 4 Tm 3.18
Tm 0.5000 0.5000 0.5000  8 Li 3.18, 4 In 3.18

Calculated values
**Total magnetization**: 0.00 μB/cell
**Distance to the lowest polymorph of the same formula**: 0.1471 eV per atom
**D(E_F)**: 3.3 states/eV per cell
**Formation energy**: -0.11 eV/atom

---

Which formula does entry 6 have? Li2TmIn